The following is a DFT calculation (PBE-GGA) of an optimized crystal structure of DyMgNi5.

Structure (POSCAR):
```
DyMgNi5
1.0
-1.730 -1.670 -4.168
-4.285 -5.499 3.982
-7.809 6.536 0.622
Ni Mg Dy
20 4 4
Cartesian
-5.054 -2.800 -2.326
-8.486 4.339 -2.383
-9.254 -2.917 0.843
-3.061 -3.523 1.293
-3.260 0.240 -0.132
-5.339 -4.973 2.819
-9.629 1.337 0.693
-10.565 -0.874 0.568
-10.764 2.889 -0.857
-5.683 4.124 0.696
-7.283 -3.929 1.809
-8.560 1.991 -1.412
-4.570 2.283 -0.407
-5.459 -0.330 1.009
-6.541 3.295 -1.373
-8.771 2.166 2.762
-4.195 -1.971 -0.257
-8.366 -0.304 -0.573
-5.264 -2.625 1.848
-8.142 -4.758 -0.260
-6.843 -2.394 -0.368
-2.968 -1.093 -2.497
-10.856 0.460 2.933
-6.982 1.760 0.804
-4.980 -4.994 -0.099
-8.011 -0.880 2.288
-5.814 0.246 -1.852
-8.844 4.361 0.535
```

Summary:
* DOS at the Fermi energy: 34.68 states/eV/cell
* space-group type: No. 62

The following is a DFT calculation (PBE-GGA) of an optimized crystal structure of K2PmErTe4.

Structure (POSCAR):
```
K2PmErTe4
1.0
4.530 0.000 0.000
0.000 7.846 0.133
0.000 -2.754 8.202
Te K Er Pm
4 2 1 1
Cartesian
0.000 -0.164 6.499
2.265 1.225 1.739
2.265 3.867 6.596
0.000 5.256 1.836
2.265 -1.377 4.101
0.000 2.546 4.167
0.000 0.000 0.000
2.265 3.923 0.066
```

Summary:
* raw formation energy: -11.2 eV/f.u.
* space-group type: No. 10

The following is a DFT calculation (PBE-GGA) of an optimized crystal structure of InIrPd2.

Structure (POSCAR):
```
InIrPd2
1.0
3.878 0.000 0.000
0.000 3.878 0.000
1.939 1.939 9.471
In Ir Pd
2 2 4
Cartesian
1.939 1.939 0.000
1.939 3.878 4.735
3.878 1.939 4.735
0.000 0.000 0.000
4.847 4.890 7.103
0.927 2.908 2.368
2.908 2.866 7.103
2.951 0.969 2.368
```

Summary:
* DOS at the Fermi energy: 7.96 states/eV/cell
* space-group type: No. 122

The following is a DFT calculation (PBE-GGA) of an optimized crystal structure of Sc4FeNi.

Structure (POSCAR):
```
Sc4FeNi
1.0
-1.905 -3.552 -4.099
-2.697 -3.058 5.590
-2.613 6.597 -1.315
Sc Ni Fe
8 2 2
Cartesian
-2.297 -0.135 -2.847
-2.526 -2.548 -0.783
-2.125 0.684 0.395
-5.090 -0.697 -0.219
-4.272 -5.005 0.080
-4.689 2.535 0.959
-2.943 4.992 0.095
-4.917 0.122 3.022
-3.164 -1.520 1.615
-4.051 1.507 -1.439
-6.718 0.861 1.203
-0.496 -0.874 -1.027
```

Summary:
* DOS at the Fermi energy: 12.96 states/eV/cell
* ΔE to the lowest computed polymorph: 0.000 eV per atom
* space-group type: No. 15

The following is a DFT calculation (PBE-GGA) of an optimized crystal structure of YPu2NbN4.

Structure (POSCAR):
```
YPu2NbN4
1.0
-2.538 0.288 2.207
3.300 -2.554 4.130
0.805 5.762 0.173
N Y Nb Pu
4 1 1 2
Cartesian
1.383 3.750 1.100
2.723 -0.542 3.202
1.882 2.578 4.410
-0.315 0.918 2.100
0.381 -1.133 3.168
0.000 0.000 0.000
-0.867 3.025 1.190
2.053 1.604 2.151
```

Summary:
* DOS at the Fermi energy: 13.30 states/eV/cell
* raw formation energy: -10.5 eV/f.u.
* space-group type: No. 10

The following is a DFT calculation (PBE-GGA) of an optimized crystal structure of TeOsBr2.

Structure (POSCAR):
```
TeOsBr2
1.0
-1.914 -0.321 -8.893
5.540 -7.161 -0.934
-0.198 -5.361 -4.422
Br Te Os
4 2 2
Cartesian
-0.809 -2.479 -7.969
0.471 -5.869 -6.877
1.515 -6.134 -10.506
-1.775 -4.363 -11.106
3.578 -8.132 -5.135
1.813 -3.741 -4.914
-0.149 -4.711 -9.114
0.000 0.000 0.000
```

Summary:
* DOS at the Fermi energy: 10.59 states/eV/cell
* ΔE to the lowest computed polymorph: 0.459 eV per atom
* raw formation energy: 2.1 eV/f.u.
* space-group type: No. 122

The following is a DFT calculation (PBE-GGA) of an optimized crystal structure of Te3MoRh.

Structure (POSCAR):
```
Te3MoRh
1.0
5.181 0.000 0.000
0.000 5.181 0.000
0.000 0.000 5.181
Te Rh Mo
3 1 1
Cartesian
0.000 2.591 0.000
0.000 0.000 2.591
2.591 0.000 0.000
0.000 0.000 0.000
2.591 2.591 2.591
```

Summary:
* DOS at the Fermi energy: 4.87 states/eV/cell
* ΔE to the lowest computed polymorph: 0.000 eV per atom
* raw formation energy: 4.4 eV/f.u.
* space-group type: No. 221

The following is a DFT calculation (PBE-GGA) of an optimized crystal structure of RbLiPSe3.

Structure (POSCAR):
```
RbLiPSe3
1.0
-1.641 -2.827 -6.770
5.418 -3.349 -3.993
-1.793 -6.532 3.330
Se Li P Rb
6 2 2 2
Cartesian
-1.714 -7.459 -2.356
0.097 -4.984 -6.494
2.764 -7.311 -8.403
3.698 -5.250 -5.078
-0.781 -5.398 0.969
1.887 -7.725 -0.940
3.213 -6.519 -2.843
-1.229 -6.190 -4.590
2.185 -11.612 -7.739
-0.201 -1.097 0.305
0.989 -3.183 -3.112
0.995 -9.526 -4.321
```

Summary:
* DOS at the Fermi energy: 0.00 states/eV/cell
* raw formation energy: -4.5 eV/f.u.
* space-group type: No. 12

no.,E (eV per cell)
1,-149.03
2,-35.25
3,-42.41
4,-81.70
5,-89.04
6,-31.23
7,-23.18
8,-46.58